No. 1
CsKRuBr6, optimized geometry, DFT PBE; SG = No. 5; VASP energy = -3.26 eV per atom
1.0
7.8972 0.0039 0.0005
3.9521 6.8372 -0.0005
0.0009 -0.0017 7.2164
Br K Ru Cs
6 1 1 1
direct
0.3376 0.0728 0.7036
0.0721 0.5903 0.7030
0.5894 0.3379 0.7036
0.3379 0.5894 0.2964
0.5903 0.0721 0.2970
0.0728 0.3376 0.2964
0.6664 0.6665 0.5000
0.3333 0.3334 0.5000
0.0000 0.0000 0.0000


No. 2
Zn2OsPb, optimized geometry, DFT PBE; SG = No. 8; ΔH_f (0 K) = 0.50 eV per atom; VASP energy = -3.88 eV per atom
1.0
-3.2336 0.5778 3.6371
-1.2476 -2.1762 4.2103
2.1529 2.2818 3.5037
Os Zn Pb
1 2 1
direct
0.4844 0.4844 0.5555
0.7514 0.7514 0.7308
0.0172 0.0172 0.9606
0.2471 0.2471 0.2531


No. 3
MgBeBr, optimized geometry, DFT PBE; SG = No. 42; VASP energy = -2.17 eV per atom; energy above the most stable polymorph in this dataset = 43.0 meV per atom
1.0
8.6210 0.7952 -0.4992
7.2636 3.9536 -0.5565
1.3575 -1.4245 2.8195
Mg Br Be
1 1 1
direct
0.3797 0.3797 0.6203
0.6051 0.6051 0.3949
0.0152 0.0152 0.9848


No. 4
Fe2SbOs, optimized geometry, DFT PBE; SG = No. 65; VASP energy = -7.67 eV per atom
1.0
-4.5713 2.4265 -3.1472
0.7902 -4.4982 -0.2101
-2.8234 -0.5363 0.8413
Fe Os Sb
2 1 1
direct
0.5000 0.0000 0.5000
0.0000 0.0000 0.0000
0.0000 0.5000 0.5000
0.5000 0.5000 0.0000


No. 5
SbSBrN2, optimized geometry, DFT PBE; SG = No. 123; VASP energy = -3.36 eV per atom; energy above the most stable polymorph in this dataset = 579.4 meV per atom
1.0
-2.7937 -2.3158 1.8661
2.8398 -2.8379 0.7295
1.0532 2.1427 4.2358
N Sb Br S
2 1 1 1
direct
0.0000 0.5000 0.0000
0.5000 0.0000 0.0000
0.5000 0.5000 0.5000
0.0000 0.0000 0.0000
0.0000 0.0000 0.5000


No. 6
Li2SiSn, optimized geometry, DFT PBE; SG = No. 123; VASP energy = -3.49 eV per atom; energy above the most stable polymorph in this dataset = 0.0 meV per atom
1.0
-3.6302 -0.1017 2.2637
-1.0840 -3.4238 -1.8922
1.8561 -2.1786 2.8787
Li Si Sn
2 1 1
direct
0.0000 0.0000 0.5000
0.0000 0.5000 0.0000
0.5000 0.0000 0.0000
0.5000 0.5000 0.5000